Nd6SnSb2Se3: relaxed, GGA-PBE.

POSCAR file:
```
Nd6SnSb2Se3
1.0
4.402 0.000 0.000
0.000 8.756 0.345
-2.201 -2.494 9.228
Nd Sb Sn Se
6 2 1 3
Cartesian
2.201 -0.162 3.116
0.000 6.424 6.457
0.000 6.531 0.302
2.201 4.328 3.241
2.201 -0.269 9.271
0.000 1.934 6.332
0.000 2.088 3.194
2.201 4.174 6.379
2.201 0.000 0.000
0.000 6.456 3.377
2.201 4.378 0.172
2.201 -0.194 6.195
```

Output
The calculation puts the uncorrected formation energy at -1.446 eV per atom. Its space group is No. 12. For the total energy, the calculation gives -68.7 eV per cell. The volume comes out at 29.95 Å³ per atom.



LaF: relaxed, GGA-PBE.

POSCAR file:
```
LaF
1.0
-6.222 1.368 4.119
-1.667 -7.400 -0.061
4.007 -0.956 6.370
F La
8 8
Cartesian
-2.422 -4.360 6.506
-0.481 -0.866 1.293
-6.414 -5.403 4.344
-2.147 -0.556 9.180
-3.003 -2.288 4.942
1.278 -7.150 6.037
-1.873 -4.462 3.906
-0.466 -2.864 5.500
-3.119 -5.615 8.378
-4.278 -4.491 4.759
-4.539 -0.543 4.549
-1.178 -2.121 3.165
-2.049 -1.959 7.287
-0.259 -5.404 5.644
-1.775 -5.865 2.012
1.669 -1.953 5.915
```

Output
The calculation puts the uncorrected formation energy at -2.452 eV per atom. Its space group is No. 217. For the total energy, the calculation gives -93.6 eV per cell. The volume comes out at 27.28 Å³ per atom.



KHO2F: relaxed, GGA-PBE.

POSCAR file:
```
KHO2F
1.0
5.601 0.000 0.000
0.000 5.601 0.000
0.000 0.000 4.839
O K H F
2 1 1 1
Cartesian
0.000 2.801 0.000
2.801 0.000 0.000
0.000 0.000 0.000
2.801 2.801 2.420
0.000 0.000 2.420
```

Output
Its space group is No. 123. For the total energy, the calculation gives -12.5 eV per cell. The volume comes out at 30.36 Å³ per atom.



InFeSb2: relaxed, GGA-PBE.

POSCAR file:
```
InFeSb2
1.0
-3.436 1.159 -5.918
-4.176 -3.979 -3.861
1.861 3.135 5.906
Fe Sb In
1 2 1
Cartesian
-2.691 1.443 -2.451
-6.986 -2.588 -8.974
-4.433 -1.642 -5.694
-3.061 -1.127 -1.422
```

Output
The calculation puts the uncorrected formation energy at 0.144 eV per atom. Its space group is No. 71. For the total energy, the calculation gives -18.9 eV per cell. The volume comes out at 23.28 Å³ per atom.



Mg4Sc5Ni: relaxed, GGA-PBE.

POSCAR file:
```
Mg4Sc5Ni
1.0
3.211 0.000 0.000
0.000 3.211 0.000
0.000 0.000 21.334
Sc Ni Mg
5 1 4
Cartesian
1.606 1.606 1.526
1.606 1.606 10.667
1.606 1.606 6.110
1.606 1.606 19.808
1.606 1.606 15.223
0.000 0.000 0.000
0.000 0.000 8.391
0.000 0.000 3.871
0.000 0.000 17.463
0.000 0.000 12.943
```

Output
Its space group is No. 123. For the total energy, the calculation gives -45.1 eV per cell. The volume comes out at 22.00 Å³ per atom. The formation enthalpy at 0 K comes out at -1.24 eV/f.u.



TbHo3Pu2Se6: relaxed, GGA-PBE.

POSCAR file:
```
TbHo3Pu2Se6
1.0
-6.491 -0.165 2.777
5.658 -0.238 4.220
0.272 6.848 -1.949
Se Ho Pu Tb
6 3 2 1
Cartesian
-2.438 4.808 3.549
-2.156 1.660 1.020
-0.003 4.988 0.275
1.595 4.784 4.028
-0.558 1.456 4.773
1.877 1.636 1.499
3.760 3.198 3.004
-0.281 3.222 2.524
-4.321 3.246 2.044
1.607 -0.214 3.739
-2.441 -0.190 3.258
0.000 0.000 0.000
```

Output
The calculation puts the uncorrected formation energy at -1.694 eV per atom. Its space group is No. 12. For the total energy, the calculation gives -88.3 eV per cell. The volume comes out at 24.19 Å³ per atom.



LaRePb2: relaxed, GGA-PBE.

POSCAR file:
```
LaRePb2
1.0
5.245 0.000 0.000
2.622 4.542 0.000
2.622 1.514 4.282
Re Pb La
1 2 1
Cartesian
7.867 4.542 3.212
0.000 0.000 0.000
2.622 1.514 1.071
5.245 3.028 2.141
```

Output
Its space group is No. 216. For the total energy, the calculation gives -22.5 eV per cell. The volume comes out at 25.51 Å³ per atom. The formation enthalpy at 0 K comes out at 2.26 eV/f.u.



P2Pt3: relaxed, GGA-PBE.

POSCAR file:
```
P2Pt3
1.0
0.000 5.409 5.665
2.544 0.000 5.665
2.544 5.409 0.000
Pt P
6 4
Cartesian
4.227 8.480 9.967
2.955 5.776 4.195
4.227 7.746 7.028
1.569 2.704 2.832
0.297 5.409 5.665
2.955 5.042 7.134
3.256 9.903 7.866
1.984 3.619 5.034
1.984 7.198 6.296
3.256 6.324 9.128
```

Output
Its space group is No. 43. For the total energy, the calculation gives -60.0 eV per cell. The volume comes out at 15.59 Å³ per atom. The formation enthalpy at 0 K comes out at -1.06 eV/f.u.



NdTm2PaAs4: relaxed, GGA-PBE.

POSCAR file:
```
NdTm2PaAs4
1.0
-3.312 2.386 0.605
-3.978 -4.592 -3.668
-2.714 -4.896 4.455
As Tm Nd Pa
4 2 1 1
Cartesian
-4.983 -0.003 0.877
-5.020 -7.099 0.515
-5.349 -3.519 -1.334
-4.654 -3.583 2.726
-3.013 -1.255 2.530
-2.714 -4.896 4.455
-3.645 -1.103 -1.532
-3.346 -4.744 0.394
```

Output
Its space group is No. 10. For the total energy, the calculation gives -52.9 eV per cell. The volume comes out at 24.69 Å³ per atom. The formation enthalpy at 0 K comes out at -11.07 eV/f.u.



SrCr2Se: relaxed, GGA-PBE.

POSCAR file:
```
SrCr2Se
1.0
5.666 0.206 0.000
2.048 5.287 0.000
-3.857 -2.747 3.119
Cr Sr Se
2 1 1
Cartesian
0.000 0.000 0.000
1.024 2.644 1.559
2.833 0.103 1.559
3.857 2.747 0.000
```

Output
The calculation puts the uncorrected formation energy at 0.457 eV per atom. Its space group is No. 119. For the total energy, the calculation gives -22.6 eV per cell. The volume comes out at 23.03 Å³ per atom.



In2PW: relaxed, GGA-PBE.

POSCAR file:
```
In2PW
1.0
3.741 0.000 0.000
0.000 3.741 0.000
0.000 0.000 5.372
In W P
2 1 1
Cartesian
0.000 0.000 2.686
0.000 0.000 0.001
1.871 1.871 4.029
1.871 1.871 1.343
```

Output
Its space group is No. 123. For the total energy, the calculation gives -21.4 eV per cell. The volume comes out at 18.80 Å³ per atom. The formation enthalpy at 0 K comes out at 2.49 eV/f.u.



ZnAg2HgN: relaxed, GGA-PBE.

POSCAR file:
```
ZnAg2HgN
1.0
4.309 0.000 0.000
0.000 5.110 0.000
0.000 0.000 4.309
N Zn Ag Hg
1 1 2 1
Cartesian
0.000 0.000 0.000
2.154 2.555 2.154
2.154 0.000 0.000
0.000 0.000 2.154
0.000 2.555 0.000
```

Output
The calculation puts the uncorrected formation energy at 0.669 eV per atom. Its space group is No. 123. For the total energy, the calculation gives -12.3 eV per cell. The volume comes out at 18.97 Å³ per atom.